# Li4GaHg

An optimized crystal structure of Li4GaHg (PBE, Alexandria).

```
Li4GaHg
1.0
-1.2782 4.2194 -1.1847
-3.6174 -2.1027 -3.5859
-4.8857 -2.2032 6.2205
Li Ga Hg
8 2 2
direct
0.4593 0.7514 0.9186 Li
0.5407 0.2514 0.0814 Li
0.9536 0.4140 0.9073 Li
0.2066 0.9741 0.4132 Li
0.3037 0.6570 0.6075 Li
0.7934 0.4741 0.5868 Li
0.0464 0.9140 0.0927 Li
0.6963 0.1570 0.3925 Li
0.3631 0.2103 0.7261 Ga
0.6369 0.7103 0.2739 Ga
0.1367 0.4266 0.2733 Hg
0.8633 0.9266 0.7267 Hg
```

Final energy ... -2.060 eV per atom
Magnetic moment ... 0.0 Bohr magnetons per cell
Fermi-level density of states ... 0.225 states/eV per atom

***

# Ba2CaCd

An optimized crystal structure of Ba2CaCd (PBE, Alexandria).

```
Ba2CaCd
1.0
6.1279 0.0000 0.0000
0.0311 6.1279 0.0000
-3.0795 -3.0640 4.3221
Ba Cd Ca
2 1 1
direct
0.0000 0.0000 0.0000 Ba
0.7500 0.2500 0.5000 Ba
0.2500 0.7500 0.5000 Cd
0.5000 0.5000 0.0000 Ca
```

Final energy ... -1.732 eV per atom
Magnetic moment ... 0.0 Bohr magnetons per cell
Fermi-level density of states ... 0.587 states/eV per atom

***

# La2TlTc

An optimized crystal structure of La2TlTc (PBE, Alexandria).

```
La2TlTc
1.0
3.8473 0.0000 0.0000
0.0000 4.9722 -0.0007
0.0000 2.4907 5.8876
Tl La Tc
1 2 1
direct
0.5000 0.5553 0.7656 Tl
0.0000 0.9465 0.9831 La
0.5000 0.2545 0.3657 La
0.0000 0.7437 0.3856 Tc
```

Final energy ... -5.746 eV per atom
Magnetic moment ... 0.0 Bohr magnetons per cell
Fermi-level density of states ... 0.880 states/eV per atom